This record from Alexandria describes a relaxed structure of UVBiO6. The functional is PBE+U.

Geometry as POSCAR:
```
UVBiO6
1.0
-1.932 -3.507 -3.704
2.500 -1.862 4.476
-8.760 -0.238 4.794
U V Bi O
2 2 2 12
Cartesian
-2.644 -3.019 0.221
-5.547 -2.589 5.344
-1.167 -2.470 2.948
-7.024 -3.138 2.618
0.000 0.000 0.000
-4.380 -0.119 2.397
-0.841 -3.473 1.205
-0.338 -0.742 2.260
-6.284 -1.442 1.767
-7.853 -4.866 3.305
-2.928 -2.000 2.040
-1.554 -1.323 4.585
-8.758 -2.491 1.769
-1.907 -4.166 3.798
-6.637 -4.285 0.980
0.567 -3.117 3.797
-5.263 -3.608 3.525
-7.350 -2.135 4.360
```

Calculated values
Calculated total energy   -8.08 eV/atom
V   14.30 Å³ per atom
Mass density   7.7 g cm⁻³
Spin magnetization   0.224 μB per atom